An optimized crystal structure of EuInSnHg, computed with PBE-GGA.

- Total moment: 6.960 μB/cell
- Formation enthalpy at 0 K: -133.8 kJ/mol of formula units

Cell: 5.397 5.397 5.397 Å, 60.00 60.00 60.00°
Atoms (fractional coordinates):
Eu 0.000 0.000 0.000
In 0.500 0.500 0.500
Sn 0.250 0.250 0.250
Hg 0.750 0.750 0.750